[1]
This record from Alexandria via LeMat-Bulk describes a relaxed InAgRu2 crystal. The functional is PBE.

POSCAR file:
```
InAgRu2
1.0
-2.0995 1.6776 -4.1824
-3.9768 -0.2260 -2.9746
-2.7129 3.7015 1.6170
Ag Ru In
1 2 1
direct
0.7500 0.7500 0.7500
0.9962 0.9962 0.9889
0.5038 0.5038 0.5111
0.2500 0.2500 0.2500
```

Output
M_tot (μB per cell): 1.6
Crystal system: monoclinic
Formation enthalpy at 0 K (eV per atom): 0.4008

=====

[2]
This record from Alexandria via LeMat-Bulk describes a relaxed InAgRu2 crystal. The functional is PBE.

POSCAR file:
```
InAgRu2
1.0
-1.1183 2.9737 0.5689
-3.0247 -1.0706 -0.3495
-0.2620 -1.2865 6.2094
Ag Ru In
1 2 1
direct
0.5000 0.5000 0.2500
0.0000 0.0000 0.5004
0.0000 0.0000 0.9996
0.5000 0.5000 0.7500
```

Output
M_tot (μB per cell): 2.1
Crystal system: tetragonal
Formation enthalpy at 0 K (eV per atom): 0.5007

=====

[3]
This record from Alexandria via LeMat-Bulk describes a relaxed InAgRu2 crystal. The functional is PBE.

POSCAR file:
```
InAgRu2
1.0
-0.3175 -4.9396 0.9117
3.7070 -2.5262 -2.2822
-0.0615 4.0523 2.9845
In Ag Ru
1 1 2
direct
0.7500 0.2500 0.5000
0.2500 0.7500 0.5000
0.5000 0.5000 0.0000
0.0000 0.0000 0.0000
```

Output
M_tot (μB per cell): 2.9
Crystal system: tetragonal
Formation enthalpy at 0 K (eV per atom): 0.4464

=====

[4]
This record from Alexandria via LeMat-Bulk describes a relaxed ScInAg2Ru crystal. The functional is PBE.

POSCAR file:
```
ScInAg2Ru
1.0
5.0401 0.0000 0.0000
0.0000 4.9423 0.0000
0.0000 0.0000 5.0401
Ag In Sc Ru
2 1 1 1
direct
0.5000 0.0000 0.0000
0.0000 0.0000 0.5000
0.0000 0.5000 0.0000
0.5000 0.5000 0.5000
0.0000 0.0000 0.0000
```

Output
M_tot (μB per cell): 0.0
Crystal system: tetragonal
Formation enthalpy at 0 K (eV per atom): 0.7431

=====

[5]
This record from Alexandria via LeMat-Bulk describes a relaxed Tb4InAg2Ru crystal. The functional is PBE.

POSCAR file:
```
Tb4InAg2Ru
1.0
5.1419 0.0000 0.0000
2.5710 4.4530 0.0000
2.5710 1.4843 8.3136
Ag Tb Ru In
2 4 1 1
direct
0.2590 0.2590 0.2229
0.7410 0.7410 0.7771
0.3865 0.3865 0.8404
0.6135 0.6135 0.1596
0.1330 0.1330 0.6011
0.8670 0.8670 0.3989
0.5000 0.5000 0.5000
0.0000 0.0000 0.0000
```

Output
M_tot (μB per cell): 0.0
Crystal system: trigonal
Formation enthalpy at 0 K (eV per atom): -0.4011

=====

[6]
This record from Alexandria via LeMat-Bulk describes a relaxed TbInAgRu crystal. The functional is PBE.

POSCAR file:
```
TbInAgRu
1.0
4.8299 0.0000 0.0000
2.4149 4.1828 0.0000
2.4149 1.3943 3.9436
Ag Ru Tb In
1 1 1 1
direct
0.2500 0.2500 0.2500
0.7500 0.7500 0.7500
0.5000 0.5000 0.5000
0.0000 0.0000 0.0000
```

Output
M_tot (μB per cell): 0.0
Crystal system: cubic
Formation enthalpy at 0 K (eV per atom): -0.1777

=====

[7]
This record from Alexandria via LeMat-Bulk describes a relaxed Tb4InAgRu2 crystal. The functional is PBE.

POSCAR file:
```
Tb4InAgRu2
1.0
-4.7104 0.0019 1.7733
-0.8207 -0.1687 4.9629
-1.7280 8.1587 2.5437
Tb In Ru Ag
4 1 2 1
direct
0.6218 0.6218 0.1345
0.1276 0.1276 0.6173
0.8724 0.8724 0.3827
0.3782 0.3782 0.8655
0.0000 0.0000 0.0000
0.2518 0.2518 0.2447
0.7482 0.7482 0.7553
0.5000 0.5000 0.5000
```

Output
M_tot (μB per cell): 0.0
Crystal system: trigonal
Formation enthalpy at 0 K (eV per atom): -0.3178

=====

[8]
This record from Alexandria via LeMat-Bulk describes a relaxed Th2InAgRu crystal. The functional is PBE.

POSCAR file:
```
Th2InAgRu
1.0
3.9464 0.0000 0.0000
0.0000 8.2743 0.4770
0.0000 -3.0054 7.5905
In Th Ag Ru
2 4 2 2
direct
0.7500 0.3242 0.6818
0.2500 0.6758 0.3182
0.7500 0.7168 0.0022
0.2500 0.2832 0.9978
0.2500 0.0950 0.3503
0.7500 0.9050 0.6497
0.2500 0.5628 0.6422
0.7500 0.4372 0.3578
0.7500 0.1111 0.1153
0.2500 0.8889 0.8847
```

Output
M_tot (μB per cell): 0.0
Crystal system: monoclinic
Formation enthalpy at 0 K (eV per atom): -0.3167

=====

[9]
This record from Alexandria via LeMat-Bulk describes a relaxed TmInAgRu crystal. The functional is PBE.

POSCAR file:
```
TmInAgRu
1.0
-0.7297 1.3808 4.5199
-3.2105 -2.2847 2.7094
1.4601 -2.7725 3.6124
Ag Tm In Ru
1 1 1 1
direct
0.2500 0.2500 0.2500
0.5000 0.5000 0.5000
0.0000 0.0000 0.0000
0.7500 0.7500 0.7500
```

Output
M_tot (μB per cell): 0.0
Crystal system: cubic
Formation enthalpy at 0 K (eV per atom): -0.2185

=====

[10]
This record from Alexandria via LeMat-Bulk describes a relaxed InAgRu2W crystal. The functional is PBE.

POSCAR file:
```
InAgRu2W
1.0
4.8153 0.0000 0.0000
0.0000 4.7776 0.0000
0.0000 0.0000 4.8153
W In Ag Ru
1 1 1 2
direct
0.0000 0.5000 0.0000
0.5000 0.5000 0.5000
0.0000 0.0000 0.0000
0.0000 0.0000 0.5000
0.5000 0.0000 0.0000
```

Output
M_tot (μB per cell): 3.2
Crystal system: tetragonal
Formation enthalpy at 0 K (eV per atom): 2.2813

=====

[11]
This record from Alexandria via LeMat-Bulk describes a relaxed ZnInAgRu2 crystal. The functional is PBE.

POSCAR file:
```
ZnInAgRu2
1.0
-0.0500 0.4330 -4.9085
1.3676 -4.7697 -0.4347
-4.7382 -1.3521 -0.0710
Ru Ag Zn In
2 1 1 1
direct
0.5000 0.0000 0.0000
0.0000 0.0000 0.5000
0.0000 0.5000 0.0000
0.5000 0.5000 0.5000
0.0000 0.0000 0.0000
```

Output
M_tot (μB per cell): 2.3
Crystal system: tetragonal
Formation enthalpy at 0 K (eV per atom): 1.6201

=====

[12]
This record from Alexandria via LeMat-Bulk describes a relaxed ZrInAgRu crystal. The functional is PBE.

POSCAR file:
```
ZrInAgRu
1.0
4.7069 0.0000 0.0000
2.3534 4.0763 0.0000
2.3534 1.3588 3.8431
Zr Ru Ag In
1 1 1 1
direct
0.5000 0.5000 0.5000
0.2500 0.2500 0.2500
0.7500 0.7500 0.7500
0.0000 0.0000 0.0000
```

Output
M_tot (μB per cell): 0.0
Crystal system: cubic
Formation enthalpy at 0 K (eV per atom): -0.1494